(1)
First-principles (PBE) data for a geometry-optimized MgOs2W structure, as listed in the Alexandria database.

a = 5.181 Å, b = 5.181 Å, c = 4.681 Å
α = 68.87°, β = 68.87°, γ = 32.02°
Fractional coordinates of all 4 atoms:
Mg1 0.259 0.259 0.188
Os1 0.016 0.016 0.053
Os2 0.742 0.742 0.686
W1 0.483 0.483 0.573

Output
* E_form: 0.189 eV per atom

=====

(2)
First-principles (PBE) data for a geometry-optimized Al2SiGe structure, as listed in the Alexandria database.

a = 3.687 Å, b = 3.687 Å, c = 7.892 Å
α = 76.49°, β = 76.49°, γ = 60.00°
Fractional coordinates of all 4 atoms:
Ge1 0.500 0.500 0.500
Si1 0.000 0.000 0.000
Al1 0.106 0.106 0.681
Al2 0.894 0.894 0.319

Output
* formation energy without anion corrections: 498 meV per atom

=====

| no. | density (g/cm3) |
| --- | --- |
| 1 | 15.83 |
| 2 | 2.87 |